# VHPt2

A relaxed VHPt2 crystal (GGA-PBE, the Alexandria database).

Uncorrected energy, eV per cell: -25.1

Lattice parameters (Å, degrees): 2.7286 2.7286 6.4692 90.00 90.00 90.00
With the nearest neighbours (Å) after each atom.
Space group P4/mmm (No. 123)
Unique sites:
V: 0.0000 0.0000 0.0000 x1  8 Pt 2.67, 4 V 2.73
H: 0.0000 0.0000 0.5000 x1  8 Pt 2.38
Pt: 0.5000 0.5000 0.2847 x2  4 H 2.38

***

# ZnIr4

A relaxed ZnIr4 crystal (GGA-PBE, the Alexandria database).

Energy of formation, eV per atom: 0.11

Lattice parameters (Å, degrees): 4.2010 2.7397 6.7289 90.00 108.07 90.00
With the nearest neighbours (Å) after each atom.
Space group P2/m (No. 10)
Unique sites:
Zn: 0.0000 0.0000 0.0000 x1  2 Ir 2.47, 2 Zn 2.74
Ir: 0.1937 0.0000 0.3865 x2  1 Zn 2.47, 8 Ir 2.55-2.76
Ir: 0.3952 0.5000 0.7932 x2  9 Ir 2.65-2.94, 4 Zn 2.83-2.84

***

# B5C7

A relaxed B5C7 crystal (GGA-PBE, the Alexandria database).

Energy of formation, eV per atom: 0.34

Lattice parameters (Å, degrees): 12.2061 2.6350 5.0087 90.00 101.90 90.00
With the nearest neighbours (Å) after each atom.
Space group Cm (No. 8)
Unique sites:
B: 0.0000 0.0000 0.0000 x2  4 C 1.65-1.69
B: 0.0003 0.0000 0.4954 x2  4 C 1.61-1.69
B: 0.1583 0.5000 0.8569 x2  3 C 1.58-1.66
B: 0.1599 0.5000 0.2951 x2  3 C 1.58-1.65
B: 0.2689 0.5000 0.6336 x2  2 C 1.58
C: 0.0875 0.0000 0.7852 x2  4 B 1.58-1.67
C: 0.0889 0.0000 0.2974 x2  4 B 1.58-1.65
C: 0.2629 0.5000 0.1280 x2  2 C 1.58, 2 B 1.65-1.66
C: 0.3365 0.0000 0.1655 x2  4 C 1.53-1.58
C: 0.3425 0.0000 0.6685 x2  2 C 1.51, 2 B 1.58
C: 0.4114 0.0000 0.4509 x2  2 C 1.51-1.53
C: 0.4120 0.0000 0.9548 x2  2 C 1.51-1.54, 2 B 1.69

***

# GdNiH

A relaxed GdNiH crystal (GGA-PBE, the Alexandria database).

Uncorrected energy, eV per cell: -23.7

Lattice parameters (Å, degrees): 3.8019 3.8019 3.4736 90.00 90.00 120.00
With the nearest neighbours (Å) after each atom.
Space group P-6m2 (No. 187)
Unique sites:
Gd: 0.0000 0.0000 0.0000 x1  6 H 2.80, 6 Ni 2.80
Ni: 0.6667 0.3333 0.5000 x1  3 H 2.20
H: 0.3333 0.6667 0.5000 x1  3 Ni 2.20